In2Au3 at its PBEsol-relaxed geometry, computed with SCAN.

Computed properties:
DFT formation energy = -0.253 eV per atom
DFT total energy = -55.102 eV/atom
ΔE to the lowest computed polymorph = 0.000 eV/atom
Mass density = 13.26 g/cm3
DOS(E_F) = 0.812 states/eV/cell

Structure (CIF):
```
data_In2Au3
_chemical_formula_sum 'In2 Au3'
_cell_length_a 4.5675
_cell_length_b 4.5675
_cell_length_c 5.6880
_cell_angle_alpha 90.00
_cell_angle_beta 90.00
_cell_angle_gamma 120.00
_space_group_name_H-M_alt 'P -3 m 1'
_space_group_IT_number 164
_space_group_name_Hall '-P 3 2"'
loop_
_atom_site_label
_atom_site_fract_x
_atom_site_fract_y
_atom_site_fract_z
In1 0.3333 0.6667 0.1742
Au1 0.0000 0.0000 0.5000
Au2 0.3333 0.6667 0.6871
```

---

CuSi4Pt at its PBEsol-relaxed geometry, computed with SCAN.

Computed properties:
E_form (uncorrected) = 0.612 eV per atom
DFT total energy = -20.297 eV/atom
Mass density = 7.18 g/cm3
DOS(E_F) = 13.101 states/eV/cell

Structure (CIF):
```
data_CuSi4Pt
_chemical_formula_sum 'Cu4 Si16 Pt4'
_cell_length_a 7.003
_cell_length_b 7.003
_cell_length_c 7.003
_cell_angle_alpha 90.00
_cell_angle_beta 90.00
_cell_angle_gamma 90.00
_space_group_name_H-M_alt 'F -4 3 m'
_space_group_IT_number 216
_space_group_name_Hall 'F -4 2 3'
loop_
_atom_site_label
_atom_site_fract_x
_atom_site_fract_y
_atom_site_fract_z
Cu1 0.000 0.000 0.000
Si1 0.125 0.125 0.625
Pt1 0.250 0.250 0.250
```

---

YCoSb3 at its PBEsol-relaxed geometry, computed with SCAN.

Computed properties:
E_form (uncorrected) = 0.025 eV per atom
DFT total energy = -31.360 eV/atom
Mass density = 7.05 g/cm3
DOS(E_F) = 6.017 states/eV/cell

Structure (CIF):
```
data_YCoSb3
_chemical_formula_sum 'Y1 Co1 Sb3'
_cell_length_a 4.943
_cell_length_b 4.943
_cell_length_c 4.943
_cell_angle_alpha 90.00
_cell_angle_beta 90.00
_cell_angle_gamma 90.00
_space_group_name_H-M_alt 'P m -3 m'
_space_group_IT_number 221
_space_group_name_Hall '-P 4 2 3'
loop_
_atom_site_label
_atom_site_fract_x
_atom_site_fract_y
_atom_site_fract_z
Y1 0.000 0.000 0.000
Co1 0.500 0.500 0.500
Sb1 0.000 0.500 0.500
```

---

TaMo2Cl at its PBEsol-relaxed geometry, computed with SCAN.

Computed properties:
E_form (uncorrected) = 0.963 eV per atom
DFT total energy = -35.119 eV/atom
ΔE to the lowest computed polymorph = 0.448 eV/atom
Mass density = 10.76 g/cm3
DOS(E_F) = 16.803 states/eV/cell

Structure (CIF):
```
data_TaMo2Cl
_chemical_formula_sum 'Ta4 Mo8 Cl4'
_cell_length_a 6.317
_cell_length_b 6.317
_cell_length_c 6.317
_cell_angle_alpha 90.00
_cell_angle_beta 90.00
_cell_angle_gamma 90.00
_space_group_name_H-M_alt 'F -4 3 m'
_space_group_IT_number 216
_space_group_name_Hall 'F -4 2 3'
loop_
_atom_site_label
_atom_site_fract_x
_atom_site_fract_y
_atom_site_fract_z
Ta1 0.000 0.000 0.000
Mo1 0.000 0.000 0.500
Mo2 0.250 0.250 0.250
Cl1 0.250 0.250 0.750
```

---

KSc2Os at its PBEsol-relaxed geometry, computed with SCAN.

Computed properties:
DFT formation energy = 0.804 eV per atom
DFT total energy = -26.367 eV/atom
ΔE to the lowest computed polymorph = 0.989 eV/atom
Mass density = 6.48 g/cm3
DOS(E_F) = 7.501 states/eV/cell

Structure (CIF):
```
data_KSc2Os
_chemical_formula_sum 'K2 Sc4 Os2'
_cell_length_a 4.081
_cell_length_b 4.081
_cell_length_c 9.821
_cell_angle_alpha 90.00
_cell_angle_beta 90.00
_cell_angle_gamma 90.00
_space_group_name_H-M_alt 'I -4 m 2'
_space_group_IT_number 119
_space_group_name_Hall 'I -4 -2'
loop_
_atom_site_label
_atom_site_fract_x
_atom_site_fract_y
_atom_site_fract_z
K1 0.000 0.000 0.000
Sc1 0.000 0.000 0.500
Sc2 0.000 0.500 0.750
Os1 0.000 0.500 0.250
```

---

LaGaHgS2 at its PBEsol-relaxed geometry, computed with SCAN.

Computed properties:
E_form (uncorrected) = -0.470 eV per atom
DFT total energy = -29.845 eV/atom
Mass density = 4.47 g/cm3
DOS(E_F) = 0.918 states/eV/cell

Structure (CIF):
```
data_LaGaHgS2
_chemical_formula_sum 'La1 Ga1 Hg1 S2'
_cell_length_a 5.429
_cell_length_b 5.429
_cell_length_c 5.968
_cell_angle_alpha 90.00
_cell_angle_beta 90.00
_cell_angle_gamma 90.00
_space_group_name_H-M_alt 'P 4/m m m'
_space_group_IT_number 123
_space_group_name_Hall '-P 4 2'
loop_
_atom_site_label
_atom_site_fract_x
_atom_site_fract_y
_atom_site_fract_z
La1 0.000 0.000 0.000
Ga1 0.500 0.500 0.500
Hg1 0.000 0.000 0.500
S1 0.000 0.500 0.000
```

---

Na2S at its PBEsol-relaxed geometry, computed with SCAN.

Computed properties:
E_form (uncorrected) = -1.230 eV per atom
DFT total energy = -7.249 eV/atom
Mass density = 2.05 g/cm3
DOS(E_F) = 0.000 states/eV/cell

Structure (CIF):
```
data_Na2S
_chemical_formula_sum 'Na8 S4'
_cell_length_a 7.084
_cell_length_b 4.268
_cell_length_c 8.343
_cell_angle_alpha 90.00
_cell_angle_beta 90.00
_cell_angle_gamma 90.00
_space_group_name_H-M_alt 'P n m a'
_space_group_IT_number 62
loop_
_space_group_symop_operation_xyz
'x,y,z'
'-x,-y,-z'
'-x+1/2,-y,z+1/2'
'x+1/2,y,-z+1/2'
'x+1/2,-y+1/2,-z+1/2'
'-x+1/2,y+1/2,z+1/2'
'-x,y+1/2,-z'
'x,-y+1/2,z'
loop_
_atom_site_label
_atom_site_fract_x
_atom_site_fract_y
_atom_site_fract_z
Na1 0.024 0.250 0.168
Na2 0.145 0.250 0.572
S1 0.247 0.750 0.386
```

---

CoTc2Br at its PBEsol-relaxed geometry, computed with SCAN.

Computed properties:
E_form (uncorrected) = 0.973 eV per atom
DFT total energy = -25.748 eV/atom
ΔE to the lowest computed polymorph = 0.256 eV/atom
Mass density = 10.43 g/cm3
DOS(E_F) = 10.799 states/eV/cell

Structure (CIF):
```
data_CoTc2Br
_chemical_formula_sum 'Co4 Tc8 Br4'
_cell_length_a 5.974
_cell_length_b 5.974
_cell_length_c 5.974
_cell_angle_alpha 90.00
_cell_angle_beta 90.00
_cell_angle_gamma 90.00
_space_group_name_H-M_alt 'F m -3 m'
_space_group_IT_number 225
_space_group_name_Hall '-F 4 2 3'
loop_
_atom_site_label
_atom_site_fract_x
_atom_site_fract_y
_atom_site_fract_z
Co1 0.000 0.000 0.000
Tc1 0.250 0.250 0.250
Br1 0.000 0.000 0.500
```